# Tl2NiBiF6, relaxed, DFT GGA+U
data_Tl2NiBiF6
_symmetry_space_group_name_H-M 'I m m m'
_symmetry_Int_Tables_number 71
_symmetry_space_group_name_Hall '-I 2 2'
_cell_length_a 5.856
_cell_length_b 6.889
_cell_length_c 8.719
_cell_angle_alpha 90.00
_cell_angle_beta 90.00
_cell_angle_gamma 90.00
loop_
_atom_site_label
_atom_site_type_symbol
_atom_site_fract_x
_atom_site_fract_y
_atom_site_fract_z
_atom_site_occupancy
Tl1 Tl 0.000 0.000 0.240 1
Ni1 Ni 0.000 0.500 0.500 1
Bi1 Bi 0.000 0.500 0.000 1
F1 F 0.000 0.500 0.265 1
F2 F 0.242 0.201 0.000 1
# Raw total energy: -82.46 eV per cell